No. 1
First-principles (GGA-PBE) data for a relaxed structure of ScAlCuOs, as listed in OQMD.

## Properties
V   15.08 Å³ per atom
VASP energy   -6.611 eV/atom
Magnetization   0.0 μB per formula unit

abc: 4.4024 4.4024 4.4024
angles: 60.00 60.00 60.00
Sites, in units of the cell vectors:
Al1 0.0000 0.0000 0.0000
Cu1 0.7500 0.7500 0.7500
Os1 0.2500 0.2500 0.2500
Sc1 0.5000 0.5000 0.5000

---

No. 2
First-principles (GGA-PBE) data for a relaxed structure of Na2Mg2AlGaAu2, as listed in OQMD.

## Properties
V   18.47 Å³ per atom
VASP energy   -2.628 eV/atom

abc: 4.7218 4.7218 6.6283
angles: 90.00 90.00 90.00
Sites, in units of the cell vectors:
Al1 0.0000 0.0000 0.0000
Au1 0.0000 0.5000 0.2415
Au2 0.5000 0.0000 0.7584
Ga1 0.5000 0.5000 0.5000
Mg1 0.5000 0.5000 0.0000
Mg2 0.0000 0.0000 0.5000
Na1 0.5000 0.0000 0.2541
Na2 0.0000 0.5000 0.7459

---

No. 3
First-principles (GGA-PBE) data for a relaxed structure of Na2SnIrO6, as listed in OQMD.

## Properties
V   11.42 Å³ per atom
VASP energy   -5.724 eV/atom
Magnetization   2.6 μB per formula unit

abc: 5.3987 5.4919 9.3987
angles: 90.00 124.97 90.00
Site moments in Bohr magnetons follow the coordinates.
Sites, in units of the cell vectors:
Ir1 0.5000 0.0000 0.0000  1.28
Ir2 0.5000 0.5000 0.5000  1.29
Na1 0.2601 0.9532 0.2497  0.01
Na2 0.7399 0.4532 0.2503  0.01
Na3 0.2601 0.5468 0.7497  0.01
Na4 0.7399 0.0468 0.7503  0.01
O1 0.2553 0.1922 0.0495  0.17
O2 0.3646 0.7077 0.0521  0.17
O3 0.8407 0.0282 0.2417  0.16
O4 0.1593 0.5282 0.2583  0.16
O5 0.6354 0.2077 0.4479  0.18
O6 0.7447 0.6922 0.4505  0.16
O7 0.2553 0.3078 0.5495  0.16
O8 0.3646 0.7923 0.5521  0.18
O9 0.8407 0.4718 0.7417  0.16
O10 0.1593 0.9718 0.7583  0.16
O11 0.6354 0.2923 0.9479  0.17
O12 0.7447 0.8078 0.9505  0.17
Sn1 0.0000 0.5000 0.0000  0.02
Sn2 0.0000 0.0000 0.5000  0.02

---

No. 4
First-principles (GGA-PBE) data for a relaxed structure of TbMgCuTe3, as listed in OQMD.

## Properties
V   27.84 Å³ per atom
VASP energy   -4.034 eV/atom
Magnetization   0.0 μB per formula unit

abc: 8.2763 4.1298 9.9621
angles: 90.00 101.16 90.00
Sites, in units of the cell vectors:
Cu1 0.9265 0.7500 0.4253
Cu2 0.0735 0.2500 0.5747
Mg1 0.1991 0.2500 0.2891
Mg2 0.8009 0.7500 0.7109
Tb1 0.6806 0.2500 0.1742
Tb2 0.3194 0.7500 0.8258
Te1 0.4002 0.7500 0.1512
Te2 0.9466 0.7500 0.1614
Te3 0.7401 0.2500 0.4865
Te4 0.2599 0.7500 0.5135
Te5 0.0534 0.2500 0.8386
Te6 0.5998 0.2500 0.8488

---

Repeat the fourth record exactly.
First-principles (GGA-PBE) data for a relaxed structure of TbMgCuTe3, as listed in OQMD.

## Properties
V   27.84 Å³ per atom
VASP energy   -4.034 eV/atom
Magnetization   0.0 μB per formula unit

abc: 8.2763 4.1298 9.9621
angles: 90.00 101.16 90.00
Sites, in units of the cell vectors:
Cu1 0.9265 0.7500 0.4253
Cu2 0.0735 0.2500 0.5747
Mg1 0.1991 0.2500 0.2891
Mg2 0.8009 0.7500 0.7109
Tb1 0.6806 0.2500 0.1742
Tb2 0.3194 0.7500 0.8258
Te1 0.4002 0.7500 0.1512
Te2 0.9466 0.7500 0.1614
Te3 0.7401 0.2500 0.4865
Te4 0.2599 0.7500 0.5135
Te5 0.0534 0.2500 0.8386
Te6 0.5998 0.2500 0.8488

---

> Which of these has the lowest V?

Na2SnIrO6

---

> The highest VASP energy belongs to which entry?

Na2Mg2AlGaAu2